VASP calculation (PBE) on a relaxed KInPb crystal.

Summary:
Its space-group type is I4/mmm. The energy relative to the elements is -0.11 eV per atom. The uncorrected energy is -2.621 eV per atom.

Unit cell a=9.4161 b=9.4161 c=9.4161 alpha=148.76 beta=148.76 gamma=44.77
Atoms (fractional coordinates):
K: 0.1676 0.1676 0.0000
K: 0.8324 0.8324 0.0000
In: 0.3857 0.3857 0.0000
In: 0.6143 0.6143 0.0000
Pb: 0.0000 0.5000 0.5000
Pb: 0.5000 0.0000 0.5000

=====

VASP calculation (PBE) on a relaxed Ho2TlSn crystal.

Summary:
Its space-group type is P2_1/m. The energy relative to the elements is -0.52 eV per atom. The uncorrected energy is -4.399 eV per atom.

Unit cell a=6.1491 b=4.3098 c=8.8572 alpha=90.00 beta=108.05 gamma=90.00
Atoms (fractional coordinates):
Ho: 0.1910 0.2500 0.4270
Ho: 0.2945 0.7500 0.0661
Ho: 0.7055 0.2500 0.9339
Ho: 0.8090 0.7500 0.5730
Tl: 0.3944 0.7500 0.6981
Tl: 0.6056 0.2500 0.3019
Sn: 0.1205 0.2500 0.7975
Sn: 0.8795 0.7500 0.2025

=====

Number 1: size of the total moment 0.00 μB per atom. Number 2: size of the total moment 0.00 μB per atom.